{"formula": "Cs2VCr3F12", "functional": "GGA+U", "state": "relaxed", "sg": "No. 166", "m_tot_mub_per_atom": 0.722, "density_g_cm3": 3.85, "crystal_system": "trigonal", "energy_ev_per_atom": -5.79, "lattice_angstrom": [[-6.109, 3.753, 2.163], [-6.297, -0.649, -4.001], [-5.787, -3.783, 2.878]], "species": ["Cs", "Cs", "F", "F", "F", "F", "F", "F", "F", "F", "F", "F", "F", "F", "Cr", "Cr", "Cr", "V"], "fractional_positions": [[0.625, 0.625, 0.625], [0.375, 0.375, 0.375], [0.687, 0.070, 0.687], [0.924, 0.924, 0.335], [0.687, 0.687, 0.070], [0.076, 0.076, 0.665], [0.665, 0.076, 0.076], [0.930, 0.313, 0.313], [0.076, 0.665, 0.076], [0.335, 0.924, 0.924], [0.313, 0.313, 0.930], [0.070, 0.687, 0.687], [0.313, 0.930, 0.313], [0.924, 0.335, 0.924], [0.500, 0.000, 0.000], [0.000, 0.500, 0.000], [0.000, 0.000, 0.500], [0.000, 0.000, 0.000]]}